DFT (PBE) results for a relaxed structure of CsNa4.

Excess energy over the best structure of this formula in the dataset, eV/f.u.: 2.23
Formation energy from the elements, eV per atom: 0.492

The structure in CIF format:
```
data_CsNa4
_chemical_formula_sum 'Cs1 Na4'
_space_group_name_H-M_alt 'P m -3 m'
_space_group_IT_number 221
_space_group_name_Hall '-P 4 2 3'
_cell_length_a 7.1214
_cell_length_b 7.1214
_cell_length_c 7.1214
_cell_angle_alpha 90.00
_cell_angle_beta 90.00
_cell_angle_gamma 90.00
loop_
_atom_site_label
_atom_site_type_symbol
_atom_site_fract_x
_atom_site_fract_y
_atom_site_fract_z
Cs1 Cs 0.0000 0.0000 0.0000
Na1 Na 0.0000 0.0000 0.5000
Na2 Na 0.5000 0.5000 0.5000
```

DFT (PBE) results for a relaxed structure of Cs2Na5.

Formation energy from the elements, eV per atom: 0.025

The structure in CIF format:
```
data_Cs2Na5
_chemical_formula_sum 'Cs4 Na10'
_space_group_name_H-M_alt 'C 1 2/m 1'
_space_group_IT_number 12
_space_group_name_Hall '-C 2y'
_cell_length_a 14.9584
_cell_length_b 6.0756
_cell_length_c 10.0159
_cell_angle_alpha 90.00
_cell_angle_beta 118.62
_cell_angle_gamma 90.00
loop_
_atom_site_label
_atom_site_type_symbol
_atom_site_fract_x
_atom_site_fract_y
_atom_site_fract_z
Cs1 Cs 0.1412 0.0000 0.2631
Na1 Na 0.0000 0.5000 0.5000
Na2 Na 0.1262 0.0000 0.7027
Na3 Na 0.1465 0.5000 0.9287
```